#a
The following is a DFT calculation (PBE) of a geometry-optimized AlCr3Pd structure.

Lattice parameters (Å, degrees): 4.6644 4.6644 4.6644 90.00 90.00 90.00
With the nearest neighbours (Å) after each atom.
Element x y z (fractional)
Cr 0.0000 0.5000 0.0000  2 Al 2.33
Cr 0.0000 0.0000 0.5000  2 Al 2.33
Cr 0.5000 0.0000 0.0000  2 Al 2.33
Al 0.0000 0.0000 0.0000  6 Cr 2.33
Pd 0.5000 0.5000 0.5000  12 Cr 3.30

volume	20.30	Å³/atom
N(E_F)	1.496	states/eV/atom
magnetic moment	11.48	μB per cell
space group	No. 221

---

#b
The following is a DFT calculation (PBE) of a geometry-optimized AlCr3Pd structure.

Lattice parameters (Å, degrees): 4.8207 4.8207 4.8207 90.00 90.00 90.00
With the nearest neighbours (Å) after each atom.
Element x y z (fractional)
Cr 0.0000 0.5000 0.0000  2 Pd 2.41
Cr 0.0000 0.0000 0.5000  2 Pd 2.41
Cr 0.5000 0.0000 0.0000  2 Pd 2.41
Al 0.5000 0.5000 0.5000  12 Cr 3.41
Pd 0.0000 0.0000 0.0000  6 Cr 2.41

volume	22.41	Å³/atom
N(E_F)	0.884	states/eV/atom
magnetic moment	12.06	μB per cell
space group	No. 221

---

#b is favored, and the nearest alternative lies 0.086 eV/atom above it.

---

#a
The following is a DFT calculation (PBE) of a geometry-optimized Pu2AlCr structure.

Lattice parameters (Å, degrees): 4.4095 4.2076 4.2076 90.00 90.00 90.00
With the nearest neighbours (Å) after each atom.
Element x y z (fractional)
Cr 0.5000 0.5000 0.5000  4 Al 2.98, 8 Pu 3.05
Al 0.5000 0.0000 0.0000  4 Cr 2.98, 8 Pu 3.05
Pu 0.0000 0.0000 0.5000  4 Pu 2.98, 4 Cr 3.05, 4 Al 3.05
Pu 0.0000 0.5000 0.0000  4 Pu 2.98, 4 Cr 3.05, 4 Al 3.05

volume	19.52	Å³/atom
N(E_F)	2.081	states/eV/atom
magnetic moment	7.36	μB per cell
space group	No. 123

---

#b
The following is a DFT calculation (PBE) of a geometry-optimized Pu2AlCr structure.

Lattice parameters (Å, degrees): 2.9610 2.9610 10.1660 81.63 81.63 60.00
With the nearest neighbours (Å) after each atom.
Element x y z (fractional)
Cr 0.0000 0.0000 0.0000  6 Pu 2.90, 6 Cr 2.96
Al 0.5000 0.5000 0.5000  6 Al 2.96, 6 Pu 3.17
Pu 0.2553 0.2553 0.2342  3 Cr 2.90, 6 Pu 2.96, 3 Al 3.17
Pu 0.7447 0.7447 0.7658  3 Cr 2.90, 6 Pu 2.96, 3 Al 3.17

volume	19.02	Å³/atom
N(E_F)	2.577	states/eV/atom
magnetic moment	6.61	μB per cell
space group	No. 166

---

#a is favored, and the nearest alternative lies 0.303 eV/atom above it.

---

#a
The following is a DFT calculation (PBE) of a geometry-optimized Al2CrRe structure.

Lattice parameters (Å, degrees): 3.9605 3.7842 3.7842 90.00 90.00 90.00
With the nearest neighbours (Å) after each atom.
Element x y z (fractional)
Re 0.5000 0.0000 0.5000  4 Cr 2.68, 8 Al 2.74
Al 0.0000 0.0000 0.0000  4 Al 2.68, 4 Cr 2.74, 4 Re 2.74
Al 0.0000 0.5000 0.5000  4 Al 2.68, 4 Cr 2.74, 4 Re 2.74
Cr 0.5000 0.5000 0.0000  4 Re 2.68, 8 Al 2.74

volume	14.18	Å³/atom
N(E_F)	0.873	states/eV/atom
magnetic moment	1.32	μB per cell
space group	No. 123

---

#b
The following is a DFT calculation (PBE) of a geometry-optimized Al2CrRe structure.

Lattice parameters (Å, degrees): 4.9299 4.9299 2.6668 80.31 80.31 115.45
With the nearest neighbours (Å) after each atom.
Element x y z (fractional)
Re 0.0000 0.5000 0.5000  4 Al 2.60, 2 Cr 2.63, 2 Re 2.67
Al 0.0000 0.0000 0.0000  2 Cr 2.60, 2 Re 2.60, 4 Al 2.63-2.67
Al 0.5000 0.5000 0.0000  2 Re 2.60, 2 Cr 2.60, 4 Al 2.63-2.67
Cr 0.5000 0.0000 0.5000  4 Al 2.60, 2 Re 2.63, 2 Cr 2.67

volume	13.89	Å³/atom
N(E_F)	0.674	states/eV/atom
magnetic moment	0.00	μB per cell
space group	No. 12

---

#b is favored, and the nearest alternative lies 0.021 eV/atom above it.

---

#a
The following is a DFT calculation (PBE) of a geometry-optimized Al2CrRe structure.

Lattice parameters (Å, degrees): 2.6854 2.6854 8.6093 90.00 90.00 111.97
With the nearest neighbours (Å) after each atom.
Element x y z (fractional)
Re 0.5000 0.5000 0.7375  2 Cr 2.51, 2 Al 2.66, 4 Re 2.69
Al 0.0000 0.0000 0.9924  2 Re 2.66, 6 Al 2.69-2.80
Al 0.5000 0.5000 0.2666  2 Cr 2.53, 6 Al 2.69-2.80
Cr 0.0000 0.0000 0.5035  2 Re 2.51, 2 Al 2.53, 4 Cr 2.69

volume	14.39	Å³/atom
N(E_F)	0.617	states/eV/atom
magnetic moment	0.00	μB per cell
space group	No. 35

---

#b
The following is a DFT calculation (PBE) of a geometry-optimized Al2CrRe structure.

Lattice parameters (Å, degrees): 6.7645 6.7645 5.4565 51.69 51.69 90.00
With the nearest neighbours (Å) after each atom.
Element x y z (fractional)
Re 0.0000 0.0000 0.0000  4 Al 2.52, 2 Cr 2.63
Re 0.7500 0.2500 0.5000  4 Al 2.52, 2 Cr 2.63
Al 0.6158 0.1250 0.2500  2 Cr 2.44, 2 Re 2.52, 2 Al 2.63
Al 0.1342 0.6250 0.2500  2 Cr 2.44, 2 Re 2.52, 2 Al 2.63
Al 0.3750 0.3842 0.7500  2 Cr 2.44, 2 Re 2.52, 2 Al 2.63
Al 0.8750 0.8658 0.7500  2 Cr 2.44, 2 Re 2.52, 2 Al 2.63
Cr 0.5000 0.5000 0.0000  4 Al 2.44, 2 Re 2.63
Cr 0.2500 0.7500 0.5000  4 Al 2.44, 2 Re 2.63

volume	15.02	Å³/atom
N(E_F)	1.041	states/eV/atom
magnetic moment	0.00	μB per cell
space group	No. 122

---

#a is favored, and the nearest alternative lies 0.522 eV/atom above it.

---

#a
The following is a DFT calculation (PBE) of a geometry-optimized Al2CrRe structure.

Lattice parameters (Å, degrees): 4.1833 2.6550 5.0790 79.32 90.00 90.00
With the nearest neighbours (Å) after each atom.
Element x y z (fractional)
Re 0.5000 0.7500 0.7500  2 Cr 2.64, 4 Al 2.64, 2 Re 2.66
Al 0.0000 0.0255 0.0069  2 Cr 2.55, 4 Al 2.63-2.66, 2 Re 2.64
Al 0.0000 0.4745 0.4931  2 Cr 2.55, 4 Al 2.63-2.66, 2 Re 2.64
Cr 0.5000 0.2500 0.2500  4 Al 2.55, 2 Re 2.64, 2 Cr 2.66

volume	13.86	Å³/atom
N(E_F)	0.849	states/eV/atom
magnetic moment	0.00	μB per cell
space group	No. 10

---

#b
The following is a DFT calculation (PBE) of a geometry-optimized Al2CrRe structure.

Lattice parameters (Å, degrees): 2.7208 3.8973 5.4211 90.00 90.00 90.00
With the nearest neighbours (Å) after each atom.
Element x y z (fractional)
Re 0.5000 0.5000 0.7500  2 Cr 2.71, 2 Re 2.72, 8 Al 2.74
Al 0.0000 0.0000 0.0008  4 Al 2.70-2.72, 4 Cr 2.73, 4 Re 2.74
Al 0.0000 0.0000 0.4992  4 Al 2.70-2.72, 4 Cr 2.73, 4 Re 2.74
Cr 0.5000 0.5000 0.2500  2 Re 2.71, 2 Cr 2.72, 8 Al 2.73

volume	14.37	Å³/atom
N(E_F)	1.015	states/eV/atom
magnetic moment	2.50	μB per cell
space group	No. 47

---

#c
The following is a DFT calculation (PBE) of a geometry-optimized Al2CrRe structure.

Lattice parameters (Å, degrees): 4.2515 4.2515 4.2515 119.94 119.94 90.10
With the nearest neighbours (Å) after each atom.
Element x y z (fractional)
Re 0.7500 0.2500 0.5000  4 Cr 2.60, 4 Al 2.60
Al 0.0000 0.0000 0.0000  4 Al 2.60, 4 Re 2.60
Al 0.2500 0.7500 0.5000  4 Cr 2.60, 4 Al 2.60
Cr 0.5000 0.5000 0.0000  4 Re 2.60, 4 Al 2.60

volume	13.60	Å³/atom
N(E_F)	0.567	states/eV/atom
magnetic moment	0.00	μB per cell
space group	No. 119

---

#d
The following is a DFT calculation (PBE) of a geometry-optimized Al2CrRe structure.

Lattice parameters (Å, degrees): 4.9068 4.9068 4.9068 142.81 128.65 65.08
With the nearest neighbours (Å) after each atom.
Element x y z (fractional)
Re 0.7500 0.2500 0.5000  8 Al 2.63-2.94, 4 Cr 2.64
Al 0.0054 0.0054 0.0000  2 Cr 2.56, 2 Re 2.63, 4 Al 2.64
Al 0.4946 0.4946 0.0000  2 Cr 2.56, 2 Re 2.63, 4 Al 2.64
Cr 0.2500 0.7500 0.5000  4 Al 2.56, 4 Re 2.64

volume	13.76	Å³/atom
N(E_F)	0.665	states/eV/atom
magnetic moment	0.00	μB per cell
space group	No. 71

---

#c is favored, and the nearest alternative lies 0.066 eV/atom above it.

---

#a
The following is a DFT calculation (PBE) of a geometry-optimized Al2CrRe structure.

Lattice parameters (Å, degrees): 2.6624 2.6624 8.3409 90.00 90.00 109.22
With the nearest neighbours (Å) after each atom.
Element x y z (fractional)
Re 0.5000 0.5000 0.7500  4 Al 2.66, 4 Re 2.66
Al 0.0000 0.0000 0.0100  2 Cr 2.53, 2 Re 2.66, 4 Al 2.66
Al 0.0000 0.0000 0.4900  2 Cr 2.53, 2 Re 2.66, 4 Al 2.66
Cr 0.5000 0.5000 0.2500  4 Al 2.53, 4 Cr 2.66

volume	13.96	Å³/atom
N(E_F)	0.777	states/eV/atom
magnetic moment	0.00	μB per cell
space group	No. 65

---

#b
The following is a DFT calculation (PBE) of a geometry-optimized Al2CrRe structure.

Lattice parameters (Å, degrees): 4.3186 4.3186 4.3186 60.00 60.00 60.00
With the nearest neighbours (Å) after each atom.
Element x y z (fractional)
Re 0.5000 0.5000 0.5000  8 Al 2.64
Al 0.2500 0.2500 0.2500  4 Re 2.64, 4 Cr 2.64
Al 0.7500 0.7500 0.7500  4 Re 2.64, 4 Cr 2.64
Cr 0.0000 0.0000 0.0000  8 Al 2.64

volume	14.24	Å³/atom
N(E_F)	0.948	states/eV/atom
magnetic moment	3.17	μB per cell
space group	No. 225

---

#b is favored, and the nearest alternative lies 0.071 eV/atom above it.

---

#a
The following is a DFT calculation (PBE) of a geometry-optimized Al2CrRe structure.

Lattice parameters (Å, degrees): 2.6685 2.6685 7.9091 90.00 90.00 90.00
With the nearest neighbours (Å) after each atom.
Element x y z (fractional)
Re 0.5000 0.5000 0.7500  4 Re 2.67, 8 Al 2.78
Al 0.0000 0.0000 0.0086  4 Al 2.67, 4 Cr 2.68, 4 Re 2.78
Al 0.0000 0.0000 0.4914  4 Al 2.67, 4 Cr 2.68, 4 Re 2.78
Cr 0.5000 0.5000 0.2500  4 Cr 2.67, 8 Al 2.68

volume	14.08	Å³/atom
N(E_F)	1.108	states/eV/atom
magnetic moment	0.01	μB per cell
space group	No. 123

---

#b
The following is a DFT calculation (PBE) of a geometry-optimized Al2CrRe structure.

Lattice parameters (Å, degrees): 8.6314 8.6314 8.6314 18.81 18.81 18.81
With the nearest neighbours (Å) after each atom.
Element x y z (fractional)
Re 0.7553 0.7553 0.7553  3 Cr 2.50, 3 Al 2.72
Al 0.0030 0.0030 0.0030  3 Re 2.72, 9 Al 2.82-2.84
Al 0.2449 0.2449 0.2449  3 Cr 2.64, 9 Al 2.82-2.84
Cr 0.4968 0.4968 0.4968  3 Re 2.50, 3 Al 2.64

volume	14.61	Å³/atom
N(E_F)	1.411	states/eV/atom
magnetic moment	0.04	μB per cell
space group	No. 160

---

#b is favored, and the nearest alternative lies 0.088 eV/atom above it.

---

#a
The following is a DFT calculation (PBE) of a geometry-optimized Al2CrRe structure.

Lattice parameters (Å, degrees): 3.0586 3.0586 5.8888 90.00 90.00 90.00
With the nearest neighbours (Å) after each atom.
Element x y z (fractional)
Re 0.5000 0.5000 0.7397  4 Cr 2.58, 5 Al 2.62-2.78
Al 0.0000 0.0000 0.9923  4 Re 2.62, 4 Al 2.70, 1 Cr 2.89
Al 0.5000 0.5000 0.2669  4 Cr 2.56, 4 Al 2.70, 1 Re 2.78
Cr 0.0000 0.0000 0.5010  4 Al 2.56, 4 Re 2.58

volume	13.77	Å³/atom
N(E_F)	0.381	states/eV/atom
magnetic moment	0.00	μB per cell
space group	No. 99

---

#b
The following is a DFT calculation (PBE) of a geometry-optimized Al2CrRe structure.

Lattice parameters (Å, degrees): 4.3103 2.6630 4.9076 81.48 90.00 90.00
With the nearest neighbours (Å) after each atom.
Element x y z (fractional)
Re 0.5000 0.7023 0.7549  4 Al 2.57-2.68, 2 Cr 2.59, 2 Re 2.66
Al 0.0000 0.0601 0.9875  2 Cr 2.57-2.66, 4 Al 2.62-2.66, 2 Re 2.68
Al 0.5000 0.2088 0.2667  2 Re 2.57-2.66, 4 Al 2.62-2.66, 2 Cr 2.62
Cr 0.0000 0.5289 0.4909  4 Al 2.57-2.66, 2 Re 2.59, 2 Cr 2.66

volume	13.93	Å³/atom
N(E_F)	0.791	states/eV/atom
magnetic moment	0.57	μB per cell
space group	No. 6

---

#a is favored, and the nearest alternative lies 0.209 eV/atom above it.